Record 1
Below is an optimized crystal structure of AgPtW3, with properties calculated at the GGA-PBE level.

The space group is Pm-3m (No. 221) and the conventional cell measures 4.7136, 4.7136 and 4.7136 Å, with angles of 90.00, 90.00 and 90.00 degrees. Symmetry generates all atoms from Ag at (0.0000, 0.0000, 0.0000), Pt at (0.5000, 0.5000, 0.5000) and W at (0.0000, 0.0000, 0.5000).

The value obtained for the final energy is -6.71 eV/atom. As for the density of states at the Fermi level: 11.0 states/eV/f.u. Its energy of formation is 2837 meV per atom. The calculation puts the energy relative to the lowest polymorph listed for this composition at 65.8 kJ/mol of atoms.

Record 2
Below is an optimized crystal structure of DyTm2Sb2, with properties calculated at the GGA-PBE level.

The space group is Cmc2_1 (No. 36) and the conventional cell measures 4.7210, 18.3838 and 6.3984 Å, with angles of 90.00, 90.00 and 90.00 degrees. Symmetry generates all atoms from Dy at (0.0000, 0.1113, 0.0000), Tm at (0.0000, 0.3154, 0.9132), Tm at (0.0000, 0.4900, 0.2415), Sb at (0.0000, 0.0699, 0.4807) and Sb at (0.0000, 0.2916, 0.4008).

The value obtained for the final energy is -5.16 eV/atom. Its formation energy without anion corrections is -803 meV/atom. As for the density of states at the Fermi level: 3.3 states/eV/f.u.

Record 3
Below is an optimized crystal structure of AlTcPb2, with properties calculated at the GGA-PBE level.

The space group is R-3m (No. 166, hexagonal axes) and the conventional cell measures 3.2392, 3.2392 and 30.2543 Å, with angles of 90.00, 90.00 and 120.00 degrees. Symmetry generates all atoms from Al at (0.0000, 0.0000, 0.0000), Tc at (0.0000, 0.0000, 0.5000) and Pb at (0.0000, 0.0000, 0.2397).

The value obtained for the final energy is -4.80 eV/atom. As for the density of states at the Fermi level: 3.2 states/eV/f.u. Its energy of formation is 584 meV per atom.

Record 4
Below is an optimized crystal structure of Sr2Li3Sn4, with properties calculated at the GGA-PBE level.

The space group is Cmce (No. 64) and the conventional cell measures 6.5624, 17.0934 and 8.3399 Å, with angles of 90.00, 90.00 and 90.00 degrees. Symmetry generates all atoms from Sr at (0.0000, 0.1068, 0.0998), Li at (0.0000, 0.0000, 0.5000), Li at (0.2500, 0.2335, 0.7500), Sn at (0.0000, 0.1748, 0.5059) and Sn at (0.2500, 0.0648, 0.7500).

The value obtained for the final energy is -3.26 eV/atom. As for the density of states at the Fermi level: 3.5 states/eV/f.u. Its energy of formation is -466 meV per atom.

Record 5
Below is an optimized crystal structure of BaFeP2, with properties calculated at the GGA-PBE level.

The space group is F-43m (No. 216) and the conventional cell measures 6.9342, 6.9342 and 6.9342 Å, with angles of 90.00, 90.00 and 90.00 degrees. Symmetry generates all atoms from Ba at (0.0000, 0.0000, 0.0000), Fe at (0.2500, 0.2500, 0.7500), P at (0.0000, 0.0000, 0.5000) and P at (0.2500, 0.2500, 0.2500).

The value obtained for the final energy is -4.70 eV/atom. As for the density of states at the Fermi level: 4.6 states/eV/f.u. Its energy of formation is 598 meV per atom. The calculation puts the energy relative to the lowest polymorph listed for this composition at 112.3 kJ/mol of atoms.

Record 6
Below is an optimized crystal structure of La2InGe4Au3, with properties calculated at the GGA-PBE level.

The space group is P-4m2 (No. 115) and the conventional cell measures 4.5855, 4.5855 and 10.6306 Å, with angles of 90.00, 90.00 and 90.00 degrees. Symmetry generates all atoms from La at (0.0000, 0.5000, 0.2380), In at (0.0000, 0.0000, 0.5000), Ge at (0.0000, 0.0000, 0.0000), Ge at (0.0000, 0.5000, 0.6422), Ge at (0.5000, 0.5000, 0.0000), Au at (0.0000, 0.5000, 0.8783) and Au at (0.5000, 0.5000, 0.5000).

The value obtained for the final energy is -4.63 eV/atom. As for the density of states at the Fermi level: 3.0 states/eV/f.u. Its energy of formation is -537 meV per atom.

Record 7
Below is an optimized crystal structure of LaMgTa2, with properties calculated at the GGA-PBE level.

The space group is Pmmm (No. 47) and the conventional cell measures 3.1054, 4.2207 and 6.9271 Å, with angles of 90.00, 90.00 and 90.00 degrees. Symmetry generates all atoms from La at (0.0000, 0.0000, 0.0000), Mg at (0.0000, 0.0000, 0.5000) and Ta at (0.5000, 0.5000, 0.3041).

The value obtained for the final energy is -6.97 eV/atom. As for the density of states at the Fermi level: 4.6 states/eV/f.u. Its energy of formation is 588 meV per atom.

Record 8
Below is an optimized crystal structure of Ca2MgSn4Pd3, with properties calculated at the GGA-PBE level.

The space group is P-4m2 (No. 115) and the conventional cell measures 4.4203, 4.4203 and 11.9328 Å, with angles of 90.00, 90.00 and 90.00 degrees. Symmetry generates all atoms from Ca at (0.0000, 0.5000, 0.2463), Mg at (0.0000, 0.0000, 0.5000), Sn at (0.0000, 0.0000, 0.0000), Sn at (0.0000, 0.5000, 0.6451), Sn at (0.5000, 0.5000, 0.0000), Pd at (0.0000, 0.5000, 0.8657) and Pd at (0.5000, 0.5000, 0.5000).

The value obtained for the final energy is -4.32 eV/atom. As for the density of states at the Fermi level: 4.1 states/eV/f.u. Its energy of formation is -599 meV per atom.

Record 9
Below is an optimized crystal structure of HgRhAu, with properties calculated at the GGA-PBE level.

The space group is Cmcm (No. 63) and the conventional cell measures 3.0325, 14.9111 and 4.7150 Å, with angles of 90.00, 90.00 and 90.00 degrees. Symmetry generates all atoms from Hg at (0.0000, 0.1015, 0.2500), Rh at (0.0000, 0.4431, 0.2500) and Au at (0.0000, 0.2195, 0.7500).

The value obtained for the final energy is -3.49 eV/atom. As for the density of states at the Fermi level: 3.3 states/eV/f.u. Its energy of formation is 158 meV per atom. The calculation puts the energy relative to the lowest polymorph listed for this composition at 0.0 kJ/mol of atoms.

Record 10
Below is an optimized crystal structure of Zr2TeW, with properties calculated at the GGA-PBE level.

The space group is Cmm2 (No. 35) and the conventional cell measures 3.7029, 5.1983 and 8.9338 Å, with angles of 90.00, 90.00 and 90.00 degrees. Symmetry generates all atoms from Zr at (0.0000, 0.0000, 0.0000), Zr at (0.0000, 0.5000, 0.2816), Te at (0.0000, 0.0000, 0.5320) and W at (0.0000, 0.5000, 0.7693).

The value obtained for the final energy is -8.03 eV/atom. Its formation energy without anion corrections is 268 meV/atom. As for the density of states at the Fermi level: 4.3 states/eV/f.u. The calculation puts the energy relative to the lowest polymorph listed for this composition at 44.6 kJ/mol of atoms.

Record 11
Below is an optimized crystal structure of CaBe2Cu5, with properties calculated at the GGA-PBE level.

The space group is Immm (No. 71) and the conventional cell measures 3.6132, 6.6269 and 9.1202 Å, with angles of 90.00, 90.00 and 90.00 degrees. Symmetry generates all atoms from Ca at (0.0000, 0.0000, 0.0000), Be at (0.0000, 0.5000, 0.2412), Cu at (0.0000, 0.1884, 0.3435) and Cu at (0.0000, 0.5000, 0.0000).

The value obtained for the final energy is -3.74 eV/atom. As for the density of states at the Fermi level: 2.5 states/eV/f.u. Its energy of formation is -1 meV per atom.

Record 12
Below is an optimized crystal structure of Sr3Cu4Pt2, with properties calculated at the GGA-PBE level.

The space group is C2/m (No. 12) and the conventional cell measures 11.2359, 4.3512 and 8.5804 Å, with angles of 90.00, 102.61 and 90.00 degrees. Symmetry generates all atoms from Sr at (0.0000, 0.0000, 0.0000), Sr at (0.1706, 0.5000, 0.6623), Cu at (0.0511, 0.0000, 0.3888), Cu at (0.2232, 0.5000, 0.0540) and Pt at (0.1082, 0.5000, 0.2766).

The value obtained for the final energy is -4.11 eV/atom. As for the density of states at the Fermi level: 3.4 states/eV/f.u. Its energy of formation is -385 meV per atom.

- Look up the final energy of the ninth one.
  -3.49 eV/atom

- Which formula does entry 7 have?
  LaMgTa2

- Which value of final energy does entry 5 give?
  -4.70 eV/atom

- The highest final energy belongs to which entry?
  Sr2Li3Sn4